# 1
The following is a DFT calculation (PBE) of an optimized crystal structure of CrTc2MoPt.

Structure (CIF):
```
data_CrTc2MoPt
_space_group_name_H-M_alt 'P 4/m m m'
_space_group_IT_number 123
_space_group_name_Hall '-P 4 2'
_cell_length_a 4.7242
_cell_length_b 4.7242
_cell_length_c 4.4475
_cell_angle_alpha 90.00
_cell_angle_beta 90.00
_cell_angle_gamma 90.00
loop_
_atom_site_label
_atom_site_fract_x
_atom_site_fract_y
_atom_site_fract_z
Cr1 0.0000 0.0000 0.0000
Tc1 0.0000 0.5000 0.5000
Mo1 0.5000 0.5000 0.0000
Pt1 0.0000 0.0000 0.5000
```

Results
Calculated formation energy, eV/atom: 2.064
Electronic total energy, eV per atom: -7.381


# 2
The following is a DFT calculation (PBE) of an optimized crystal structure of La2PrSm2Ho.

Structure (CIF):
```
data_La2PrSm2Ho
_space_group_name_H-M_alt 'P n n m'
_space_group_IT_number 58
_cell_length_a 6.7641
_cell_length_b 18.2782
_cell_length_c 3.4608
_cell_angle_alpha 90.00
_cell_angle_beta 90.00
_cell_angle_gamma 90.00
loop_
_space_group_symop_operation_xyz
'x,y,z'
'-x,-y,-z'
'-x,-y,z'
'x,y,-z'
'x+1/2,-y+1/2,-z+1/2'
'-x+1/2,y+1/2,z+1/2'
'-x+1/2,y+1/2,-z+1/2'
'x+1/2,-y+1/2,z+1/2'
loop_
_atom_site_label
_atom_site_fract_x
_atom_site_fract_y
_atom_site_fract_z
La1 0.2307 0.1848 0.0000
Pr1 0.0000 0.5000 0.0000
Sm1 0.2272 0.3539 0.5000
Ho1 0.0000 0.0000 0.0000
```

Results
Calculated formation energy, eV/atom: 0.237
Electronic total energy, eV per atom: -4.538


# 3
The following is a DFT calculation (PBE) of an optimized crystal structure of GaFeNiIr.

Structure (CIF):
```
data_GaFeNiIr
_space_group_name_H-M_alt 'F -4 3 m'
_space_group_IT_number 216
_space_group_name_Hall 'F -4 2 3'
_cell_length_a 5.9382
_cell_length_b 5.9382
_cell_length_c 5.9382
_cell_angle_alpha 90.00
_cell_angle_beta 90.00
_cell_angle_gamma 90.00
loop_
_atom_site_label
_atom_site_fract_x
_atom_site_fract_y
_atom_site_fract_z
Ga1 0.0000 0.0000 0.0000
Fe1 0.0000 0.0000 0.5000
Ni1 0.2500 0.2500 0.2500
Ir1 0.2500 0.2500 0.7500
```

Results
Calculated formation energy, eV/atom: -0.218
Electronic total energy, eV per atom: -6.751


# 4
The following is a DFT calculation (PBE) of an optimized crystal structure of Ce2TeRh.

Structure (CIF):
```
data_Ce2TeRh
_space_group_name_H-M_alt 'R 3 m'
_space_group_IT_number 160
_space_group_name_Hall 'R 3 -2"'
_cell_length_a 4.1040
_cell_length_b 4.1040
_cell_length_c 22.9986
_cell_angle_alpha 90.00
_cell_angle_beta 90.00
_cell_angle_gamma 120.00
loop_
_atom_site_label
_atom_site_fract_x
_atom_site_fract_y
_atom_site_fract_z
Ce1 0.0000 0.0000 0.0000
Ce2 0.0000 0.0000 0.1950
Te1 0.0000 0.0000 0.7644
Rh1 0.0000 0.0000 0.5957
```

Results
E_form (uncorrected), eV/atom: -0.941
Electronic total energy, eV per atom: -6.532
Offset from the most stable computed form, meV/atom: 42


# 5
The following is a DFT calculation (PBE) of an optimized crystal structure of BaSnPCl2.

Structure (CIF):
```
data_BaSnPCl2
_space_group_name_H-M_alt 'P 4/m m m'
_space_group_IT_number 123
_space_group_name_Hall '-P 4 2'
_cell_length_a 5.7223
_cell_length_b 5.7223
_cell_length_c 6.4106
_cell_angle_alpha 90.00
_cell_angle_beta 90.00
_cell_angle_gamma 90.00
loop_
_atom_site_label
_atom_site_fract_x
_atom_site_fract_y
_atom_site_fract_z
Ba1 0.0000 0.0000 0.0000
Sn1 0.5000 0.5000 0.5000
P1 0.0000 0.0000 0.5000
Cl1 0.0000 0.5000 0.0000
```

Results
E_form (uncorrected), eV/atom: -0.379
Electronic total energy, eV per atom: -3.385
Offset from the most stable computed form, meV/atom: 584


# 6
The following is a DFT calculation (PBE) of an optimized crystal structure of Dy2HoPb3.

Structure (CIF):
```
data_Dy2HoPb3
_space_group_name_H-M_alt 'C 1 2/c 1'
_space_group_IT_number 15
_cell_length_a 16.9082
_cell_length_b 6.3943
_cell_length_c 6.3962
_cell_angle_alpha 90.00
_cell_angle_beta 100.86
_cell_angle_gamma 90.00
loop_
_space_group_symop_operation_xyz
'x,y,z'
'-x,-y,-z'
'-x,y,-z+1/2'
'x,-y,z+1/2'
'x+1/2,y+1/2,z'
'-x+1/2,-y+1/2,-z'
'-x+1/2,y+1/2,-z+1/2'
'x+1/2,-y+1/2,z+1/2'
loop_
_atom_site_label
_atom_site_fract_x
_atom_site_fract_y
_atom_site_fract_z
Dy1 0.1667 0.1252 0.0840
Ho1 0.0000 0.3754 0.2500
Pb1 0.0000 0.1242 0.7500
Pb2 0.1663 0.3754 0.5830
```

Results
Calculated formation energy, eV/atom: -0.493
Electronic total energy, eV per atom: -4.644
Offset from the most stable computed form, meV/atom: 0


# 7
The following is a DFT calculation (PBE) of an optimized crystal structure of LaNd4Dy7.

Structure (CIF):
```
data_LaNd4Dy7
_space_group_name_H-M_alt 'C 1 2/m 1'
_space_group_IT_number 12
_cell_length_a 12.2139
_cell_length_b 5.9650
_cell_length_c 12.8356
_cell_angle_alpha 90.00
_cell_angle_beta 117.94
_cell_angle_gamma 90.00
loop_
_space_group_symop_operation_xyz
'x,y,z'
'-x,-y,-z'
'-x,y,-z'
'x,-y,z'
'x+1/2,y+1/2,z'
'-x+1/2,-y+1/2,-z'
'-x+1/2,y+1/2,-z'
'x+1/2,-y+1/2,z'
loop_
_atom_site_label
_atom_site_fract_x
_atom_site_fract_y
_atom_site_fract_z
La1 0.0000 0.0000 0.0000
Nd1 0.1328 0.5000 0.7764
Nd2 0.2362 0.0000 0.6747
Dy1 0.0000 0.5000 0.0000
Dy2 0.0641 0.0000 0.3247
Dy3 0.1328 0.5000 0.4993
Dy4 0.2104 0.0000 0.9229
```

Results
Calculated formation energy, eV/atom: 0.248
Electronic total energy, eV per atom: -4.437
Offset from the most stable computed form, meV/atom: 235


# 8
The following is a DFT calculation (PBE) of an optimized crystal structure of Sm2MgHg6.

Structure (CIF):
```
data_Sm2MgHg6
_space_group_name_H-M_alt 'C 1 2/m 1'
_space_group_IT_number 12
_cell_length_a 11.5043
_cell_length_b 6.3927
_cell_length_c 6.0653
_cell_angle_alpha 90.00
_cell_angle_beta 92.78
_cell_angle_gamma 90.00
loop_
_space_group_symop_operation_xyz
'x,y,z'
'-x,-y,-z'
'-x,y,-z'
'x,-y,z'
'x+1/2,y+1/2,z'
'-x+1/2,-y+1/2,-z'
'-x+1/2,y+1/2,-z'
'x+1/2,-y+1/2,z'
loop_
_atom_site_label
_atom_site_fract_x
_atom_site_fract_y
_atom_site_fract_z
Sm1 0.1656 0.0000 0.1624
Mg1 0.0000 0.5000 0.0000
Hg1 0.0881 0.2345 0.6889
Hg2 0.1833 0.5000 0.3210
```

Results
Calculated formation energy, eV/atom: -0.299
Electronic total energy, eV per atom: -1.727


# 9
The following is a DFT calculation (PBE) of an optimized crystal structure of TiCuTcMo2.

Structure (CIF):
```
data_TiCuTcMo2
_space_group_name_H-M_alt 'P 4/m m m'
_space_group_IT_number 123
_space_group_name_Hall '-P 4 2'
_cell_length_a 4.4827
_cell_length_b 4.4827
_cell_length_c 4.4961
_cell_angle_alpha 90.00
_cell_angle_beta 90.00
_cell_angle_gamma 90.00
loop_
_atom_site_label
_atom_site_fract_x
_atom_site_fract_y
_atom_site_fract_z
Ti1 0.0000 0.0000 0.0000
Cu1 0.5000 0.5000 0.5000
Tc1 0.5000 0.5000 0.0000
Mo1 0.0000 0.5000 0.5000
```

Results
Calculated formation energy, eV/atom: 1.436
Electronic total energy, eV per atom: -7.367


# 10
The following is a DFT calculation (PBE) of an optimized crystal structure of Cu2TcPt.

Structure (CIF):
```
data_Cu2TcPt
_space_group_name_H-M_alt 'I m m 2'
_space_group_IT_number 44
_cell_length_a 2.7845
_cell_length_b 4.4459
_cell_length_c 8.7770
_cell_angle_alpha 90.00
_cell_angle_beta 90.00
_cell_angle_gamma 90.00
loop_
_space_group_symop_operation_xyz
'x,y,z'
'-x,-y,z'
'-x,y,z'
'x,-y,z'
'x+1/2,y+1/2,z+1/2'
'-x+1/2,-y+1/2,z+1/2'
'-x+1/2,y+1/2,z+1/2'
'x+1/2,-y+1/2,z+1/2'
loop_
_atom_site_label
_atom_site_fract_x
_atom_site_fract_y
_atom_site_fract_z
Cu1 0.0000 0.0000 0.0000
Cu2 0.0000 0.5000 0.2711
Tc1 0.0000 0.0000 0.5132
Pt1 0.0000 0.5000 0.7528
```

Results
Calculated formation energy, eV/atom: 0.150
Electronic total energy, eV per atom: -5.999
Offset from the most stable computed form, meV/atom: 166


# 11
The following is a DFT calculation (PBE) of an optimized crystal structure of HgPdN3.

Structure (CIF):
```
data_HgPdN3
_space_group_name_H-M_alt 'P m -3 m'
_space_group_IT_number 221
_space_group_name_Hall '-P 4 2 3'
_cell_length_a 4.2027
_cell_length_b 4.2027
_cell_length_c 4.2027
_cell_angle_alpha 90.00
_cell_angle_beta 90.00
_cell_angle_gamma 90.00
loop_
_atom_site_label
_atom_site_fract_x
_atom_site_fract_y
_atom_site_fract_z
Hg1 0.0000 0.0000 0.0000
Pd1 0.5000 0.5000 0.5000
N1 0.0000 0.0000 0.5000
```

Results
E_form (uncorrected), eV/atom: 2.843
Electronic total energy, eV per atom: -3.252


# 12
The following is a DFT calculation (PBE) of an optimized crystal structure of LiMgHg6Pb.

Structure (CIF):
```
data_LiMgHg6Pb
_space_group_name_H-M_alt 'I m m a'
_space_group_IT_number 74
_space_group_name_Hall '-I 2b 2'
_cell_length_a 8.9009
_cell_length_b 9.2065
_cell_length_c 12.7628
_cell_angle_alpha 90.00
_cell_angle_beta 90.00
_cell_angle_gamma 90.00
loop_
_atom_site_label
_atom_site_fract_x
_atom_site_fract_y
_atom_site_fract_z
Li1 0.0000 0.0000 0.0000
Mg1 0.2500 0.2500 0.2500
Hg1 0.0000 0.2500 0.3955
Hg2 0.0000 0.2500 0.8757
Hg3 0.2389 0.0117 0.6230
Pb1 0.0000 0.2500 0.6319
```

Results
Calculated formation energy, eV/atom: -0.021
Electronic total energy, eV per atom: -1.024